Here is a geometry-optimized LaPm3Nd2 structure from Alexandria. Energies are from GGA-PBE.

Summary:
The offset from the most stable computed form comes out at 0.338 eV/atom.

Cell: 3.4529 10.3374 12.0323 Å, 90.00 90.00 90.00°
With the nearest neighbours (Å) after each atom.
Positions (direct):
La 0.0000 0.0000 0.0000  4 Pm 3.45-3.48, 2 La 3.45, 2 Nd 3.46
La 0.5000 0.5000 0.5000  4 Pm 3.45-3.48, 2 La 3.45, 2 Nd 3.46
Pm 0.0000 0.1664 0.7488  4 Pm 3.44-3.45, 3 Nd 3.47, 1 La 3.48
Pm 0.0000 0.5000 0.7479  2 La 3.45, 4 Pm 3.45, 2 Nd 3.46
Pm 0.0000 0.8336 0.7488  4 Pm 3.44-3.45, 3 Nd 3.47, 1 La 3.48
Pm 0.5000 0.0000 0.2479  2 La 3.45, 4 Pm 3.45, 2 Nd 3.46
Pm 0.5000 0.3336 0.2488  4 Pm 3.44-3.45, 3 Nd 3.47, 1 La 3.48
Pm 0.5000 0.6664 0.2488  4 Pm 3.44-3.45, 3 Nd 3.47, 1 La 3.48
Nd 0.0000 0.3345 0.9982  3 Nd 3.42-3.45, 1 La 3.46, 4 Pm 3.46-3.47
Nd 0.0000 0.6655 0.9982  3 Nd 3.42-3.45, 1 La 3.46, 4 Pm 3.46-3.47
Nd 0.5000 0.1655 0.4982  3 Nd 3.42-3.45, 1 La 3.46, 4 Pm 3.46-3.47
Nd 0.5000 0.8345 0.4982  3 Nd 3.42-3.45, 1 La 3.46, 4 Pm 3.46-3.47

***

Here is a geometry-optimized La8Pm3Nd structure from Alexandria. Energies are from GGA-PBE.

Cell: 9.2189 9.2189 6.5324 Å, 110.46 110.46 58.28°
With the nearest neighbours (Å) after each atom.
Positions (direct):
La 0.0697 0.0697 0.3163  2 Pm 3.37-3.73, 1 Nd 3.40, 5 La 3.58-3.62
La 0.1712 0.1745 0.9168  7 La 3.39-3.69, 2 Pm 3.57-3.67
La 0.4993 0.0028 0.6482  5 La 3.36-3.62, 1 Pm 3.44
La 0.5055 0.2399 0.3637  4 La 3.36-3.76, 1 Pm 3.48, 1 Nd 3.74
La 0.7601 0.4945 0.6363  4 La 3.36-3.76, 1 Pm 3.48, 1 Nd 3.74
La 0.8255 0.8288 0.0832  7 La 3.39-3.69, 2 Pm 3.57-3.67
La 0.9303 0.9303 0.6837  2 Pm 3.37-3.73, 1 Nd 3.40, 5 La 3.58-3.62
La 0.9972 0.5007 0.3518  5 La 3.36-3.62, 1 Pm 3.44
Pm 0.2347 0.5174 0.8908  4 La 3.44-3.73, 1 Nd 3.48, 3 Pm 3.66-3.85
Pm 0.3072 0.6928 0.5000  4 La 3.37-3.48, 2 Pm 3.70
Pm 0.4826 0.7653 0.1092  4 La 3.44-3.73, 1 Nd 3.48, 3 Pm 3.66-3.85
Nd 0.6878 0.3122 0.0000  6 La 3.40-3.78, 2 Pm 3.48

***

Here is a geometry-optimized La2Pm5Nd structure from Alexandria. Energies are from GGA-PBE.

Summary:
The offset from the most stable computed form comes out at 0.030 eV/atom.

Cell: 6.7030 6.7030 16.4291 Å, 90.00 90.00 129.06°
With the nearest neighbours (Å) after each atom.
Positions (direct):
La 0.2195 0.7805 0.6294  5 Pm 3.39-3.65, 2 Nd 3.51
La 0.2195 0.7805 0.8706  5 Pm 3.39-3.65, 2 Nd 3.51
La 0.7805 0.2195 0.1294  5 Pm 3.39-3.65, 2 Nd 3.51
La 0.7805 0.2195 0.3706  5 Pm 3.39-3.65, 2 Nd 3.51
Pm 0.0775 0.9225 0.0908  1 Nd 3.42, 6 Pm 3.52-3.79, 1 La 3.65
Pm 0.0775 0.9225 0.4092  1 Nd 3.42, 6 Pm 3.52-3.79, 1 La 3.65
Pm 0.3815 0.6185 0.0504  1 Pm 3.31, 3 La 3.39-3.55, 1 Nd 3.60
Pm 0.3815 0.6185 0.4496  1 Pm 3.31, 3 La 3.39-3.55, 1 Nd 3.60
Pm 0.4632 0.5368 0.7500  1 Nd 3.36, 2 La 3.55
Pm 0.5368 0.4632 0.2500  1 Nd 3.36, 2 La 3.55
Pm 0.6185 0.3815 0.5504  1 Pm 3.31, 3 La 3.39-3.55, 1 Nd 3.60
Pm 0.6185 0.3815 0.9496  1 Pm 3.31, 3 La 3.39-3.55, 1 Nd 3.60
Pm 0.9225 0.0775 0.5908  1 Nd 3.42, 6 Pm 3.52-3.79, 1 La 3.65
Pm 0.9225 0.0775 0.9092  1 Nd 3.42, 6 Pm 3.52-3.79, 1 La 3.65
Nd 0.2591 0.7409 0.2500  5 Pm 3.36-3.60, 4 La 3.51
Nd 0.7409 0.2591 0.7500  5 Pm 3.36-3.60, 4 La 3.51

***

Here is a geometry-optimized La5Pm6Nd structure from Alexandria. Energies are from GGA-PBE.

Cell: 6.4147 6.4147 12.1665 Å, 95.06 95.06 120.07°
With the nearest neighbours (Å) after each atom.
Positions (direct):
La 0.0000 0.0000 0.0000  6 Pm 3.68-3.69, 6 La 3.70-3.71
La 0.1666 0.8334 0.5000  6 Pm 3.67-3.68, 3 Nd 3.70-3.71, 3 La 3.70
La 0.3338 0.6662 0.0000  6 Pm 3.68-3.69, 6 La 3.69-3.71
La 0.6662 0.3338 0.0000  6 Pm 3.68-3.69, 6 La 3.69-3.71
La 0.8334 0.1666 0.5000  6 Pm 3.67-3.68, 3 Nd 3.70-3.71, 3 La 3.70
Pm 0.0844 0.4171 0.2504  1 Nd 3.67, 5 La 3.67-3.69, 6 Pm 3.69-3.71
Pm 0.2500 0.2500 0.7495  5 La 3.67-3.69, 1 Nd 3.67, 6 Pm 3.69-3.71
Pm 0.4171 0.0844 0.2504  1 Nd 3.67, 5 La 3.67-3.69, 6 Pm 3.69-3.71
Pm 0.5829 0.9156 0.7496  1 Nd 3.67, 5 La 3.67-3.69, 6 Pm 3.69-3.71
Pm 0.7500 0.7500 0.2505  5 La 3.67-3.69, 1 Nd 3.67, 6 Pm 3.69-3.71
Pm 0.9156 0.5829 0.7496  1 Nd 3.67, 5 La 3.67-3.69, 6 Pm 3.69-3.71
Nd 0.5000 0.5000 0.5000  6 Pm 3.67, 6 La 3.70-3.71

***

Here is a geometry-optimized La2Pm5Nd12 structure from Alexandria. Energies are from GGA-PBE.

Summary:
The offset from the most stable computed form comes out at 0.000 eV/atom.

Cell: 9.6932 9.6932 8.0859 Å, 90.26 90.26 63.58°
With the nearest neighbours (Å) after each atom.
Positions (direct):
La 0.2144 0.7856 0.0000  8 Nd 3.60-3.84, 2 Pm 3.83
La 0.7856 0.2144 0.0000  8 Nd 3.60-3.84, 2 Pm 3.83
Pm 0.0000 0.0000 0.5000  4 Nd 3.42
Pm 0.2489 0.2489 0.4871  5 Nd 3.26-3.52
Pm 0.3539 0.3539 0.9225  9 Nd 3.35-3.69
Pm 0.6461 0.6461 0.0775  9 Nd 3.35-3.69
Pm 0.7511 0.7511 0.5129  5 Nd 3.26-3.52
Nd 0.0358 0.5790 0.2077  4 Pm 3.52-3.71, 6 Nd 3.58-3.87, 1 La 3.60
Nd 0.1628 0.1628 0.1232  2 Pm 3.26-3.55, 2 Nd 3.59, 2 La 3.60
Nd 0.1690 0.6200 0.6106  4 Pm 3.42-3.75, 5 Nd 3.55-3.66, 1 La 3.64
Nd 0.3800 0.8310 0.3894  4 Pm 3.42-3.75, 5 Nd 3.55-3.66, 1 La 3.64
Nd 0.4210 0.9642 0.7923  4 Pm 3.52-3.71, 6 Nd 3.58-3.87, 1 La 3.60
Nd 0.4491 0.4491 0.2898  3 Pm 3.35-3.68, 6 Nd 3.55-3.68
Nd 0.5509 0.5509 0.7102  3 Pm 3.35-3.68, 6 Nd 3.55-3.68
Nd 0.5790 0.0358 0.2077  4 Pm 3.52-3.71, 6 Nd 3.58-3.87, 1 La 3.60
Nd 0.6200 0.1690 0.6106  4 Pm 3.42-3.75, 5 Nd 3.55-3.66, 1 La 3.64
Nd 0.8310 0.3800 0.3894  4 Pm 3.42-3.75, 5 Nd 3.55-3.66, 1 La 3.64
Nd 0.8372 0.8372 0.8768  2 Pm 3.26-3.55, 2 Nd 3.59, 2 La 3.60
Nd 0.9642 0.4210 0.7923  4 Pm 3.52-3.71, 6 Nd 3.58-3.87, 1 La 3.60

***

Here is a geometry-optimized La4Pm5Nd structure from Alexandria. Energies are from GGA-PBE.

Summary:
The offset from the most stable computed form comes out at 0.000 eV/atom.

Cell: 10.6924 10.6924 6.1261 Å, 90.00 90.00 90.00°
With the nearest neighbours (Å) after each atom.
Positions (direct):
La 0.0489 0.7500 0.1313  1 Pm 3.12, 1 Nd 3.20, 2 La 3.44
La 0.2500 0.5489 0.8687  1 Pm 3.12, 1 Nd 3.20, 2 La 3.44
La 0.2500 0.9511 0.8687  1 Pm 3.12, 1 Nd 3.20, 2 La 3.44
La 0.4511 0.7500 0.1313  1 Pm 3.12, 1 Nd 3.20, 2 La 3.44
La 0.5489 0.2500 0.8687  1 Pm 3.12, 1 Nd 3.20, 2 La 3.44
La 0.7500 0.0489 0.1313  1 Pm 3.12, 1 Nd 3.20, 2 La 3.44
La 0.7500 0.4511 0.1313  1 Pm 3.12, 1 Nd 3.20, 2 La 3.44
La 0.9511 0.2500 0.8687  1 Pm 3.12, 1 Nd 3.20, 2 La 3.44
Pm 0.0895 0.0895 0.3442  3 Pm 3.31-3.43, 2 La 3.69
Pm 0.0895 0.4105 0.3442  3 Pm 3.31-3.43, 2 La 3.69
Pm 0.2500 0.7500 0.5000  4 La 3.12
Pm 0.4105 0.0895 0.3442  3 Pm 3.31-3.43, 2 La 3.69
Pm 0.4105 0.4105 0.3442  3 Pm 3.31-3.43, 2 La 3.69
Pm 0.5895 0.5895 0.6558  3 Pm 3.31-3.43, 2 La 3.69
Pm 0.5895 0.9105 0.6558  3 Pm 3.31-3.43, 2 La 3.69
Pm 0.7500 0.2500 0.5000  4 La 3.12
Pm 0.9105 0.5895 0.6558  3 Pm 3.31-3.43, 2 La 3.69
Pm 0.9105 0.9105 0.6558  3 Pm 3.31-3.43, 2 La 3.69
Nd 0.2500 0.2500 0.8378  4 La 3.20
Nd 0.7500 0.7500 0.1622  4 La 3.20

***

Here is a geometry-optimized La3Pm5Nd2 structure from Alexandria. Energies are from GGA-PBE.

Cell: 10.2819 10.2819 9.2442 Å, 108.76 108.76 114.90°
With the nearest neighbours (Å) after each atom.
Positions (direct):
La 0.0221 0.2722 0.0460  1 Nd 3.12, 2 Pm 3.42-3.43
La 0.2239 0.7761 0.7500  4 Nd 3.40-3.65, 1 Pm 3.41, 2 La 3.58
La 0.2722 0.0221 0.5460  1 Nd 3.12, 2 Pm 3.42-3.43
La 0.7278 0.9779 0.4540  1 Nd 3.12, 2 Pm 3.42-3.43
La 0.7761 0.2239 0.2500  4 Nd 3.40-3.65, 1 Pm 3.41, 2 La 3.58
La 0.9779 0.7278 0.9540  1 Nd 3.12, 2 Pm 3.42-3.43
Pm 0.0270 0.9730 0.7500  5 La 3.41-3.57, 2 Nd 3.60, 2 Pm 3.75
Pm 0.1326 0.3720 0.7552  2 Nd 3.46-3.49, 2 La 3.51-3.55, 2 Pm 3.75-3.81
Pm 0.2766 0.7234 0.2500  1 Pm 3.34, 4 La 3.42-3.59, 2 Nd 3.65
Pm 0.3720 0.1326 0.2552  2 Nd 3.46-3.49, 2 La 3.51-3.55, 2 Pm 3.75-3.81
Pm 0.4690 0.5310 0.2500  1 Pm 3.34, 4 Nd 3.38-3.57, 2 La 3.56
Pm 0.5310 0.4690 0.7500  1 Pm 3.34, 4 Nd 3.38-3.57, 2 La 3.56
Pm 0.6280 0.8674 0.7448  2 Nd 3.46-3.49, 2 La 3.51-3.55, 2 Pm 3.75-3.81
Pm 0.7234 0.2766 0.7500  1 Pm 3.34, 4 La 3.42-3.59, 2 Nd 3.65
Pm 0.8674 0.6280 0.2448  2 Nd 3.46-3.49, 2 La 3.51-3.55, 2 Pm 3.75-3.81
Pm 0.9730 0.0270 0.2500  5 La 3.41-3.57, 2 Nd 3.60, 2 Pm 3.75
Nd 0.2361 0.4799 0.4669  2 La 3.12-3.40, 3 Pm 3.38-3.49
Nd 0.4799 0.2361 0.9669  2 La 3.12-3.40, 3 Pm 3.38-3.49
Nd 0.5201 0.7639 0.0331  2 La 3.12-3.40, 3 Pm 3.38-3.49
Nd 0.7639 0.5201 0.5331  2 La 3.12-3.40, 3 Pm 3.38-3.49

***

Here is a geometry-optimized La2Pm6Nd3 structure from Alexandria. Energies are from GGA-PBE.

Summary:
The offset from the most stable computed form comes out at 0.102 eV/atom.

Cell: 17.4587 17.4587 17.4587 Å, 163.95 163.95 22.78°
With the nearest neighbours (Å) after each atom.
Positions (direct):
La 0.0452 0.0452 0.0000  1 La 3.10
La 0.9548 0.9548 0.0000  1 La 3.10
Pm 0.1217 0.6217 0.5000  6 Pm 3.45-3.56, 2 La 3.58, 2 Nd 3.66
Pm 0.1973 0.1973 0.0000  5 Nd 3.45-3.46, 4 Pm 3.56
Pm 0.3783 0.8783 0.5000  6 Pm 3.45-3.56, 2 La 3.58, 2 Nd 3.66
Pm 0.6217 0.1217 0.5000  6 Pm 3.45-3.56, 2 La 3.58, 2 Nd 3.66
Pm 0.8027 0.8027 0.0000  5 Nd 3.45-3.46, 4 Pm 3.56
Pm 0.8783 0.3783 0.5000  6 Pm 3.45-3.56, 2 La 3.58, 2 Nd 3.66
Nd 0.2984 0.2984 0.0000  9 Pm 3.45-3.66
Nd 0.5000 0.5000 0.0000  8 La 3.78
Nd 0.7016 0.7016 0.0000  9 Pm 3.45-3.66

***

| no. | raw total energy (eV per atom) |
| --- | --- |
| 1 | -4.43 |
| 2 | -4.78 |
| 3 | -4.67 |
| 4 | -4.81 |
| 5 | -4.67 |
| 6 | -4.67 |
| 7 | -4.65 |
| 8 | -4.54 |